*1*
Density functional theory data (SCAN) for a PBEsol-optimized structure of SrHf3Ga.

a b c (Å): 5.1131 5.1131 5.1131
angles (deg): 90.00 90.00 90.00
Closest atoms and distances in Å follow each position.
Element x y z (fractional)
Sr 0.5000 0.5000 0.5000  12 Hf 3.62
Hf 0.0000 0.5000 0.0000  2 Ga 2.56
Hf 0.0000 0.0000 0.5000  2 Ga 2.56
Hf 0.5000 0.0000 0.0000  2 Ga 2.56
Ga 0.0000 0.0000 0.0000  6 Hf 2.56

Properties
Fermi-level density of states, states/eV per cell: 5.86
Spin magnetization, Bohr magnetons per cell: 1.78

---

*2*
Density functional theory data (SCAN) for a PBEsol-optimized structure of SrHf3Ga.

a b c (Å): 5.0128 5.0128 5.0128
angles (deg): 90.00 90.00 90.00
Closest atoms and distances in Å follow each position.
Element x y z (fractional)
Sr 0.0000 0.0000 0.0000  6 Hf 2.51
Hf 0.0000 0.5000 0.0000  2 Sr 2.51
Hf 0.0000 0.0000 0.5000  2 Sr 2.51
Hf 0.5000 0.0000 0.0000  2 Sr 2.51
Ga 0.5000 0.5000 0.5000  12 Hf 3.54

Properties
Fermi-level density of states, states/eV per cell: 8.38
Spin magnetization, Bohr magnetons per cell: 0.01

---

It is *2* that is the least stable of them.

---

*1*
Density functional theory data (SCAN) for a PBEsol-optimized structure of InGa2Hg.

a b c (Å): 4.9266 4.9266 4.9266
angles (deg): 60.00 60.00 60.00
Closest atoms and distances in Å follow each position.
Element x y z (fractional)
Hg 0.5000 0.5000 0.5000  8 Ga 3.02
Ga 0.2500 0.2500 0.2500  4 Hg 3.02, 4 In 3.02
Ga 0.7500 0.7500 0.7500  4 Hg 3.02, 4 In 3.02
In 0.0000 0.0000 0.0000  8 Ga 3.02

Properties
Fermi-level density of states, states/eV per cell: 0.91
Spin magnetization, Bohr magnetons per cell: 0.00

---

*2*
Density functional theory data (SCAN) for a PBEsol-optimized structure of InGa2Hg.

a b c (Å): 5.8330 6.2192 6.2192
angles (deg): 77.30 62.03 62.03
Closest atoms and distances in Å follow each position.
Element x y z (fractional)
Hg 0.0000 0.0000 0.0000  4 Ga 2.79, 2 In 2.92
Hg 0.7500 0.5000 0.5000  4 Ga 2.79, 2 In 2.92
Ga 0.8750 0.0096 0.4904  2 Hg 2.79, 2 In 2.89, 2 Ga 2.92
Ga 0.3750 0.9904 0.5096  2 Hg 2.79, 2 In 2.89, 2 Ga 2.92
Ga 0.6346 0.4904 0.9904  2 Hg 2.79, 2 In 2.89, 2 Ga 2.92
Ga 0.1154 0.5096 0.0096  2 Hg 2.79, 2 In 2.89, 2 Ga 2.92
In 0.5000 0.0000 0.0000  4 Ga 2.89, 2 Hg 2.92
In 0.2500 0.5000 0.5000  4 Ga 2.89, 2 Hg 2.92

Properties
Fermi-level density of states, states/eV per cell: 3.50
Spin magnetization, Bohr magnetons per cell: 0.00

---

It is *1* that is the least stable of them.

---

*1*
Density functional theory data (SCAN) for a PBEsol-optimized structure of In2GaHg2.

a b c (Å): 4.3976 7.3854 7.3854
angles (deg): 90.00 90.00 90.00
Closest atoms and distances in Å follow each position.
Element x y z (fractional)
Hg 0.0000 0.3567 0.8567  2 Ga 2.84, 6 In 2.97-3.17, 1 Hg 2.99
Hg 0.0000 0.8567 0.6433  2 Ga 2.84, 6 In 2.97-3.17, 1 Hg 2.99
Hg 0.0000 0.6433 0.1433  2 Ga 2.84, 6 In 2.97-3.17, 1 Hg 2.99
Hg 0.0000 0.1433 0.3567  2 Ga 2.84, 6 In 2.97-3.17, 1 Hg 2.99
Ga 0.0000 0.0000 0.0000  4 Hg 2.84
Ga 0.0000 0.5000 0.5000  4 Hg 2.84
In 0.5000 0.1653 0.6653  6 Hg 2.97-3.17
In 0.5000 0.6653 0.8347  6 Hg 2.97-3.17
In 0.5000 0.8347 0.3347  6 Hg 2.97-3.17
In 0.5000 0.3347 0.1653  6 Hg 2.97-3.17

Properties
Fermi-level density of states, states/eV per cell: 4.77
Spin magnetization, Bohr magnetons per cell: 0.00

---

*2*
Density functional theory data (SCAN) for a PBEsol-optimized structure of In2GaHg2.

a b c (Å): 4.2830 4.2830 7.4766
angles (deg): 106.64 106.64 90.00
Closest atoms and distances in Å follow each position.
Element x y z (fractional)
Hg 0.4002 0.4002 0.8003  1 Hg 2.73, 4 In 2.97
Hg 0.5998 0.5998 0.1997  1 Hg 2.73, 4 In 2.97
Ga 0.0000 0.0000 0.0000  8 Hg 3.32
In 0.2500 0.7500 0.5000  4 Hg 2.97, 4 In 3.03
In 0.7500 0.2500 0.5000  4 Hg 2.97, 4 In 3.03

Properties
Fermi-level density of states, states/eV per cell: 1.69
Spin magnetization, Bohr magnetons per cell: 0.00

---

It is *2* that is the least stable of them.

---

*1*
Density functional theory data (SCAN) for a PBEsol-optimized structure of Ga2Hg2Pb.

a b c (Å): 4.2447 4.2447 7.0514
angles (deg): 107.52 107.52 90.00
Closest atoms and distances in Å follow each position.
Element x y z (fractional)
Pb 0.0000 0.0000 0.0000  8 Hg 3.31
Hg 0.3898 0.3898 0.7797  4 Ga 2.77, 1 Hg 2.81
Hg 0.6102 0.6102 0.2203  4 Ga 2.77, 1 Hg 2.81
Ga 0.2500 0.7500 0.5000  4 Hg 2.77, 4 Ga 3.00
Ga 0.7500 0.2500 0.5000  4 Hg 2.77, 4 Ga 3.00

Properties
Fermi-level density of states, states/eV per cell: 1.49
Spin magnetization, Bohr magnetons per cell: 0.00

---

*2*
Density functional theory data (SCAN) for a PBEsol-optimized structure of Ga2Hg2Pb.

a b c (Å): 3.2801 8.3201 8.3201
angles (deg): 90.00 90.00 90.00
Closest atoms and distances in Å follow each position.
Element x y z (fractional)
Pb 0.0000 0.0000 0.0000  4 Hg 3.15, 2 Pb 3.28
Pb 0.0000 0.5000 0.5000  4 Hg 3.15, 2 Pb 3.28
Hg 0.0000 0.3467 0.8467  6 Ga 2.91-2.96, 2 Pb 3.15
Hg 0.0000 0.8467 0.6533  6 Ga 2.91-2.96, 2 Pb 3.15
Hg 0.0000 0.6533 0.1533  6 Ga 2.91-2.96, 2 Pb 3.15
Hg 0.0000 0.1533 0.3467  6 Ga 2.91-2.96, 2 Pb 3.15
Ga 0.5000 0.1428 0.6428  6 Hg 2.91-2.96
Ga 0.5000 0.6428 0.8572  6 Hg 2.91-2.96
Ga 0.5000 0.8572 0.3572  6 Hg 2.91-2.96
Ga 0.5000 0.3572 0.1428  6 Hg 2.91-2.96

Properties
Fermi-level density of states, states/eV per cell: 3.69
Spin magnetization, Bohr magnetons per cell: 0.00

---

It is *2* that is the least stable of them.